No. 1
The following is a GGA-PBE calculation of a geometry-optimized YVMo3 structure, from Alexandria via LeMat-Bulk.

Calculated values
N(E_F)	7.7	states/eV per cell
relative energy among the computed polymorphs	0.000	eV per atom
crystal system	cubic
formation energy	0.8597	eV/atom
DFT total energy	-0.3218	Ha/atom

Cell: 4.641 4.641 4.641 Å, 90.00 90.00 90.00°
Atoms (fractional coordinates):
Y 0.000 0.000 0.000
V 0.500 0.500 0.500
Mo 0.000 0.500 0.500
Mo 0.500 0.000 0.500
Mo 0.500 0.500 0.000

=====

No. 2
The following is a GGA-PBE calculation of a geometry-optimized La3Sn12Ge5 structure, from Alexandria via LeMat-Bulk.

Calculated values
N(E_F)	36.5	states/eV per cell
crystal system	cubic
formation energy	0.0627	eV/atom
DFT total energy	-0.1555	Ha/atom

Cell: 14.971 14.971 14.971 Å, 109.47 109.47 109.47°
Atoms (fractional coordinates):
La 0.125 0.250 0.375
La 0.125 0.375 0.750
La 0.250 0.375 0.125
La 0.250 0.875 0.625
La 0.375 0.125 0.250
La 0.375 0.750 0.125
La 0.625 0.250 0.875
La 0.625 0.875 0.750
La 0.750 0.125 0.375
La 0.750 0.625 0.875
La 0.875 0.625 0.250
La 0.875 0.750 0.625
Sn 0.033 0.219 0.102
Sn 0.033 0.314 0.931
Sn 0.069 0.602 0.383
Sn 0.069 0.967 0.686
Sn 0.102 0.033 0.219
Sn 0.102 0.569 0.883
Sn 0.117 0.719 0.686
Sn 0.117 0.898 0.431
Sn 0.186 0.219 0.617
Sn 0.186 0.467 0.569
Sn 0.219 0.102 0.033
Sn 0.219 0.617 0.186
Sn 0.281 0.314 0.883
Sn 0.281 0.467 0.398
Sn 0.314 0.883 0.281
Sn 0.314 0.931 0.033
Sn 0.383 0.069 0.602
Sn 0.383 0.814 0.781
Sn 0.398 0.281 0.467
Sn 0.398 0.617 0.931
Sn 0.431 0.117 0.898
Sn 0.431 0.814 0.533
Sn 0.467 0.398 0.281
Sn 0.467 0.569 0.186
Sn 0.533 0.431 0.814
Sn 0.533 0.602 0.719
Sn 0.569 0.186 0.467
Sn 0.569 0.883 0.102
Sn 0.602 0.383 0.069
Sn 0.602 0.719 0.533
Sn 0.617 0.186 0.219
Sn 0.617 0.931 0.398
Sn 0.686 0.069 0.967
Sn 0.686 0.117 0.719
Sn 0.719 0.533 0.602
Sn 0.719 0.686 0.117
Sn 0.781 0.383 0.814
Sn 0.781 0.898 0.967
Sn 0.814 0.533 0.431
Sn 0.814 0.781 0.383
Sn 0.883 0.102 0.569
Sn 0.883 0.281 0.314
Sn 0.898 0.431 0.117
Sn 0.898 0.967 0.781
Sn 0.931 0.033 0.314
Sn 0.931 0.398 0.617
Sn 0.967 0.686 0.069
Sn 0.967 0.781 0.898
Ge 0.000 0.000 0.000
Ge 0.000 0.000 0.500
Ge 0.000 0.500 0.000
Ge 0.000 0.500 0.500
Ge 0.125 0.750 0.875
Ge 0.125 0.875 0.250
Ge 0.250 0.125 0.875
Ge 0.250 0.625 0.375
Ge 0.375 0.250 0.625
Ge 0.375 0.625 0.750
Ge 0.500 0.000 0.000
Ge 0.500 0.000 0.500
Ge 0.500 0.500 0.000
Ge 0.500 0.500 0.500
Ge 0.625 0.375 0.250
Ge 0.625 0.750 0.375
Ge 0.750 0.375 0.625
Ge 0.750 0.875 0.125
Ge 0.875 0.125 0.750
Ge 0.875 0.250 0.125

=====

No. 3
The following is a GGA-PBE calculation of a geometry-optimized SbMoOs2 structure, from Alexandria via LeMat-Bulk.

Calculated values
N(E_F)	4.1	states/eV per cell
uncorrected formation energy	0.4545	eV per atom
crystal system	tetragonal
DFT total energy	-0.3270	Ha/atom

Cell: 4.984 4.984 4.984 Å, 133.45 133.45 67.95°
Atoms (fractional coordinates):
Sb 0.000 0.000 0.000
Mo 0.250 0.750 0.500
Os 0.500 0.500 0.000
Os 0.750 0.250 0.500

=====

No. 4
The following is a GGA-PBE calculation of a geometry-optimized LiZrCoI2 structure, from Alexandria via LeMat-Bulk.

Calculated values
N(E_F)	5.9	states/eV per cell
uncorrected formation energy	0.8881	eV per atom
crystal system	tetragonal
DFT total energy	-0.1193	Ha/atom

Cell: 4.959 4.959 5.112 Å, 90.00 90.00 90.00°
Atoms (fractional coordinates):
Li 0.000 0.000 0.000
Zr 0.000 0.000 0.500
Co 0.500 0.500 0.500
I 0.000 0.500 0.000
I 0.500 0.000 0.000

=====

Q: The highest N(E_F) belongs to which entry?
A: La3Sn12Ge5